A | DFT (GGA-PBE) results for a geometry-optimized YIBr structure.

Structure (extended XYZ):
```
6
Lattice="7.378 0.000 0.000 0.000 4.010 0.000 -2.134 0.000 8.039" Properties=species:S:1:pos:R:3 pbc="T T T"
Y 0.000 0.000 0.000
Y 3.142 2.005 0.574
I -0.663 2.005 6.111
I 4.715 0.000 2.330
Br 0.665 2.005 1.980
Br 3.318 2.005 6.897
```

crystal system: monoclinic
DOS(E_F): 1.4 states/eV per cell
M_tot: 0.0 μB per formula unit
calculated volume: 238 Å³ per cell

***

B | DFT (GGA-PBE) results for a geometry-optimized YIBr structure.

Structure (extended XYZ):
```
6
Lattice="8.497 -2.023 0.000 8.497 2.023 0.000 -2.517 0.000 6.427" Properties=species:S:1:pos:R:3 pbc="T T T"
Y 0.000 0.000 0.000
Y 7.239 0.000 3.214
I 0.230 0.000 5.024
I 14.247 0.000 1.403
Br 4.785 0.000 4.746
Br 9.693 0.000 1.681
```

crystal system: monoclinic
DOS(E_F): 3.0 states/eV per cell
M_tot: 0.0 μB per formula unit
calculated volume: 221 Å³ per cell

***

Quick one: most stable of them? B

***

A | DFT (GGA-PBE) results for a geometry-optimized YIBr structure.

Structure (extended XYZ):
```
6
Lattice="5.288 -1.974 0.000 5.288 1.974 0.000 -0.061 0.000 10.800" Properties=species:S:1:pos:R:3 pbc="T T T"
Y 0.000 0.000 0.000
Y 7.319 0.000 2.700
I 1.584 0.000 4.946
I 4.563 0.000 8.568
Br 4.410 0.000 2.114
Br 7.380 0.000 10.662
```

crystal system: monoclinic
DOS(E_F): 0.9 states/eV per cell
M_tot: 0.0 μB per formula unit
calculated volume: 225 Å³ per cell

***

B | DFT (GGA-PBE) results for a geometry-optimized YIBr structure.

Structure (extended XYZ):
```
6
Lattice="7.386 -2.003 0.000 7.386 2.003 0.000 -5.406 0.000 7.599" Properties=species:S:1:pos:R:3 pbc="T T T"
Y 0.000 0.000 0.000
Y 10.659 0.000 0.187
I -0.299 0.000 6.153
I 8.394 0.000 2.136
Br 3.227 0.000 5.795
Br 12.627 0.000 2.086
```

crystal system: monoclinic
DOS(E_F): 3.3 states/eV per cell
M_tot: 0.0 μB per formula unit
calculated volume: 225 Å³ per cell

***

C | DFT (GGA-PBE) results for a geometry-optimized YIBr structure.

Structure (extended XYZ):
```
3
Lattice="3.460 -1.998 0.000 3.460 1.998 0.000 -2.333 0.000 7.873" Properties=species:S:1:pos:R:3 pbc="T T T"
Y 0.000 0.000 0.000
I 4.613 0.000 2.068
Br 2.280 0.000 6.054
```

crystal system: monoclinic
DOS(E_F): 0.3 states/eV per cell
M_tot: 1.0 μB per formula unit
calculated volume: 109 Å³ per cell

***

Quick one: most stable of them? C